No. 1
VASP calculation (meta-GGA SCAN) on a crystal of LaCoBr2 relaxed with PBEsol.

Cell lengths 4.6214, 4.6214, 5.3348 Å; angles 115.67, 115.67, 90.00 degrees
Each line ends with the local moment (μB).
Element x y z (fractional)
Br (0.7500, 0.2500, 0.5000)  0.02
Br (0.2500, 0.7500, 0.5000)  0.02
La (0.0000, 0.0000, 0.0000)  -0.07
Co (0.5000, 0.5000, 0.0000)  1.96

Calculated values
- Volume: 22.5 A^3/atom
- E above lowest polymorph: 0.156 eV per atom
- Raw formation energy: -2.9 eV/f.u.
- Calculated total energy: -25.56 eV/atom
- Space-group type: I4/mmm
- Size of the total moment: 2.00 μB per formula unit

---

No. 2
VASP calculation (meta-GGA SCAN) on a crystal of TcIrW2 relaxed with PBEsol.

Cell lengths 3.8682, 3.9164, 3.9164 Å; angles 90.00, 90.00, 90.00 degrees
Element x y z (fractional)
W (0.0000, 0.0000, 0.5000)
W (0.0000, 0.5000, 0.0000)
Tc (0.5000, 0.0000, 0.0000)
Ir (0.5000, 0.5000, 0.5000)

Calculated values
- Volume: 14.8 A^3/atom
- E above lowest polymorph: 0.000 eV per atom
- Energy of formation from the pure elements: -41.3 kJ/mol of formula units
- Calculated total energy: -61.49 eV/atom
- Space-group type: P4/mmm
- Size of the total moment: 0.00 μB per formula unit

---

No. 3
VASP calculation (meta-GGA SCAN) on a crystal of Ca2InGaTe relaxed with PBEsol.

Cell lengths 5.7238, 5.7238, 5.6579 Å; angles 90.00, 90.00, 90.00 degrees
Element x y z (fractional)
Ga (0.5000, 0.5000, 0.5000)
Ca (0.0000, 0.5000, 0.0000)
Ca (0.5000, 0.0000, 0.0000)
Te (0.0000, 0.0000, 0.0000)
In (0.0000, 0.0000, 0.5000)

Calculated values
- Volume: 37.1 A^3/atom
- Raw formation energy: -0.2 eV/f.u.
- Calculated total energy: -21.30 eV/atom
- Space-group type: P4/mmm
- Size of the total moment: 0.03 μB per formula unit

---

Question: Which of these has the lowest size of the total moment?
Answer: TcIrW2

---

Question: Look up the calculated total energy of the second one.
Answer: -61.49 eV/atom